1.
This record from the Alexandria database describes an optimized crystal structure of LaTlSnAu. The functional is PBE-GGA.

The structure belongs to space group F-43m (No. 216); the cell edges are 7.494, 7.494 and 7.494 Å and the angles 90.00°, 90.00° and 90.00°. The distinct sites, in fractional coordinates, are La at (0.000, 0.000, 0.000), Tl at (0.250, 0.250, 0.250), Sn at (0.000, 0.000, 0.500) and Au at (0.250, 0.250, 0.750).

As for the calculated total energy: -4.106 eV per atom.

---

2.
This record from the Alexandria database describes an optimized crystal structure of LaTmSnAu. The functional is PBE-GGA.

The structure belongs to space group F-43m (No. 216); the cell edges are 7.542, 7.542 and 7.542 Å and the angles 90.00°, 90.00° and 90.00°. The distinct sites, in fractional coordinates, are La at (0.000, 0.000, 0.000), Tm at (0.000, 0.000, 0.500), Sn at (0.250, 0.250, 0.250) and Au at (0.250, 0.250, 0.750).

As for the calculated total energy: -4.874 eV per atom.

---

3.
This record from the Alexandria database describes an optimized crystal structure of La2ZnSnAu6. The functional is PBE-GGA.

The structure belongs to space group C2/m (No. 12); the cell edges are 12.939, 5.494 and 9.111 Å and the angles 90.00°, 133.37° and 90.00°. The distinct sites, in fractional coordinates, are La at (0.015, 0.000, 0.262), Zn at (0.000, 0.500, 0.500), Sn at (0.000, 0.500, 0.000), Au at (0.165, 0.500, 0.904) and Au at (0.237, 0.250, 0.696).

As for the calculated total energy: -3.980 eV per atom.